1.
First-principles (PBE) data for an optimized crystal structure of Rb3GaCl6, as listed in Alexandria via LeMat-Bulk.

Its formation energy from raw total energies is -1.594 eV/atom. Its density is 2.7 g cm⁻³. The calculation puts the total magnetization at 0.000 μB per formula unit.

The structure belongs to space group Fm-3m (No. 225); the cell edges are 10.974, 10.974 and 10.974 Å and the angles 90.00°, 90.00° and 90.00°. The distinct sites, in fractional coordinates, are Rb at (0.000, 0.000, 0.000), Rb at (0.250, 0.250, 0.250), Ga at (0.000, 0.000, 0.500) and Cl at (0.000, 0.000, 0.282).

2.
First-principles (PBE) data for an optimized crystal structure of Rb4GaCl7, as listed in Alexandria via LeMat-Bulk.

Its formation energy from raw total energies is -1.656 eV/atom. Its density is 2.6 g cm⁻³. The calculation puts the total magnetization at 0.270 μB per formula unit.

The structure belongs to space group C2 (No. 5); the cell edges are 16.180, 5.501 and 11.045 Å and the angles 90.00°, 122.24° and 90.00°. The distinct sites, in fractional coordinates, are Rb at (0.074, 0.000, 0.267), Rb at (0.228, 0.002, 0.828), Ga at (0.000, 0.448, 0.500), Cl at (0.000, 0.033, 0.500), Cl at (0.069, 0.518, 0.742), Cl at (0.139, 0.002, 0.039) and Cl at (0.156, 0.507, 0.530).

3.
First-principles (PBE) data for an optimized crystal structure of Rb2Ga2Cl, as listed in Alexandria via LeMat-Bulk.

Its formation energy from raw total energies is -0.722 eV/atom. Its density is 3.6 g cm⁻³. The calculation puts the total magnetization at 0.000 μB per formula unit.

The structure belongs to space group I4/mmm (No. 139); the cell edges are 3.923, 3.923 and 20.769 Å and the angles 90.00°, 90.00° and 90.00°. The distinct sites, in fractional coordinates, are Rb at (0.000, 0.000, 0.095), Ga at (0.000, 0.500, 0.250) and Cl at (0.000, 0.000, 0.500).

4.
First-principles (PBE) data for an optimized crystal structure of RbGa3Cl, as listed in Alexandria via LeMat-Bulk.

Its formation energy from raw total energies is 0.066 eV/atom. Its density is 3.2 g cm⁻³. For the distance to the lowest polymorph of the same formula, the calculation gives 0.000 eV per atom. The calculation puts the total magnetization at 0.000 μB per formula unit.

The structure belongs to space group Pm-3m (No. 221); the cell edges are 5.581, 5.581 and 5.581 Å and the angles 90.00°, 90.00° and 90.00°. The distinct sites, in fractional coordinates, are Rb at (0.000, 0.000, 0.000), Ga at (0.000, 0.500, 0.500) and Cl at (0.500, 0.500, 0.500).

5.
First-principles (PBE) data for an optimized crystal structure of Rb2Ga2Cl7, as listed in Alexandria via LeMat-Bulk.

Its formation energy from raw total energies is -1.363 eV/atom. Its density is 2.2 g cm⁻³. The calculation puts the total magnetization at 0.955 μB per formula unit.

The structure belongs to space group P2_1/c (No. 14); the cell edges are 6.340, 16.054 and 8.273 Å and the angles 90.00°, 98.91° and 90.00°. The distinct sites, in fractional coordinates, are Rb at (0.138, 0.150, 0.422), Ga at (0.329, 0.607, 0.642), Cl at (0.041, 0.662, 0.481), Cl at (0.218, 0.554, 0.871), Cl at (0.455, 0.214, 0.761) and Cl at (0.500, 0.000, 0.000).

6.
First-principles (PBE) data for an optimized crystal structure of Rb6Ga3Cl14, as listed in Alexandria via LeMat-Bulk.

Its formation energy from raw total energies is -1.544 eV/atom. Its density is 2.5 g cm⁻³. The calculation puts the total magnetization at 1.049 μB per formula unit.

The structure belongs to space group P3 (No. 143); the cell edges are 11.6224, 11.6224 and 6.9313 Å and the angles 90.00°, 90.00° and 120.00°. The distinct sites, in fractional coordinates, are Rb at (0.0448, 0.4728, 0.0000), Rb at (0.3200, 0.2098, 0.5432), Ga at (0.0000, 0.0000, 0.1144), Ga at (0.3333, 0.6667, 0.5702), Ga at (0.6667, 0.3333, 0.1874), Cl at (0.0000, 0.0000, 0.7954), Cl at (0.0762, 0.2026, 0.2292), Cl at (0.1874, 0.7448, 0.7051), Cl at (0.3333, 0.6667, 0.2153), Cl at (0.4694, 0.2609, 0.9918) and Cl at (0.5424, 0.1387, 0.3896).